(1)
A relaxed structure of Tl4PdAu. Source: Alexandria via LeMat-Bulk, functional PBE.

Computed properties:
- V: 26.7 Å³ per atom
- E_form: -0.08 eV per atom
- DOS(E_F): 4.18 states/eV per cell

a b c (Å): 6.8229 6.8229 8.3912
angles (deg): 113.97 113.97 89.20
Sites, in units of the cell vectors:
Tl: 0.0034 0.2425 0.0021
Tl: 0.2375 0.4987 0.4975
Tl: 0.2425 0.0034 0.5021
Tl: 0.4987 0.2375 0.9975
Tl: 0.5013 0.7625 0.0025
Tl: 0.7575 0.9966 0.4979
Tl: 0.7625 0.5013 0.5025
Tl: 0.9966 0.7575 0.9979
Pd: 0.1251 0.8749 0.7500
Pd: 0.8749 0.1251 0.2500
Au: 0.3753 0.6247 0.2500
Au: 0.6247 0.3753 0.7500

(2)
A relaxed structure of Tl4PdAu. Source: Alexandria via LeMat-Bulk, functional PBE.

Computed properties:
- V: 25.5 Å³ per atom
- E_form: -0.05 eV per atom
- DOS(E_F): 4.79 states/eV per cell

a b c (Å): 7.6056 7.6056 5.8930
angles (deg): 97.44 97.44 112.61
Sites, in units of the cell vectors:
Tl: 0.0779 0.7089 0.9495
Tl: 0.2220 0.3827 0.6029
Tl: 0.2911 0.9221 0.5505
Tl: 0.3827 0.2220 0.1029
Tl: 0.6173 0.7780 0.8971
Tl: 0.7089 0.0779 0.4495
Tl: 0.7780 0.6173 0.3971
Tl: 0.9221 0.2911 0.0505
Pd: 0.0047 0.9953 0.2500
Pd: 0.9953 0.0047 0.7500
Au: 0.3749 0.6251 0.2500
Au: 0.6251 0.3749 0.7500

(3)
A relaxed structure of TlPdAu2. Source: Alexandria via LeMat-Bulk, functional PBE.

Computed properties:
- V: 18.7 Å³ per atom
- E_form: -0.04 eV per atom
- DOS(E_F): 2.38 states/eV per cell

a b c (Å): 4.1491 4.1491 4.3567
angles (deg): 90.00 90.00 90.00
Sites, in units of the cell vectors:
Tl: 0.0000 0.0000 0.0000
Pd: 0.5000 0.5000 0.0000
Au: 0.0000 0.5000 0.5000
Au: 0.5000 0.0000 0.5000

(4)
A relaxed structure of TlPd3Au3. Source: Alexandria via LeMat-Bulk, functional PBE.

Computed properties:
- V: 18.7 Å³ per atom
- E_form: -0.07 eV per atom
- DOS(E_F): 5.96 states/eV per cell

a b c (Å): 6.5307 6.5307 6.1273
angles (deg): 90.00 90.00 90.29
Sites, in units of the cell vectors:
Tl: 0.2299 0.2299 0.0000
Tl: 0.7701 0.7701 0.0000
Pd: 0.0000 0.5000 0.2506
Pd: 0.0000 0.5000 0.7494
Pd: 0.5000 0.0000 0.2506
Pd: 0.5000 0.0000 0.7494
Pd: 0.5000 0.5000 0.2614
Pd: 0.5000 0.5000 0.7386
Au: 0.2246 0.2246 0.5000
Au: 0.2288 0.7712 0.5000
Au: 0.2414 0.7586 0.0000
Au: 0.7586 0.2414 0.0000
Au: 0.7712 0.2288 0.5000
Au: 0.7754 0.7754 0.5000

(5)
A relaxed structure of Tl8Pd2Au3. Source: Alexandria via LeMat-Bulk, functional PBE.

Computed properties:
- V: 25.5 Å³ per atom
- E_form: -0.03 eV per atom
- DOS(E_F): 4.98 states/eV per cell

a b c (Å): 8.3765 8.3765 5.0172
angles (deg): 90.00 90.00 109.44
Sites, in units of the cell vectors:
Tl: 0.1282 0.8718 0.0000
Tl: 0.1367 0.3940 0.5000
Tl: 0.3613 0.6387 0.0000
Tl: 0.3940 0.1367 0.5000
Tl: 0.6060 0.8633 0.5000
Tl: 0.6387 0.3613 0.0000
Tl: 0.8633 0.6060 0.5000
Tl: 0.8718 0.1282 0.0000
Pd: 0.2362 0.7638 0.5000
Pd: 0.7638 0.2362 0.5000
Au: 0.0000 0.0000 0.5000
Au: 0.2646 0.2646 0.0000
Au: 0.7354 0.7354 0.0000

(6)
A relaxed structure of Tl2PdAu. Source: Alexandria via LeMat-Bulk, functional PBE.

Computed properties:
- V: 21.4 Å³ per atom
- E_form: 0.03 eV per atom
- DOS(E_F): 5.65 states/eV per cell

a b c (Å): 6.9944 6.9944 6.9944
angles (deg): 90.00 90.00 90.00
Sites, in units of the cell vectors:
Tl: 0.2500 0.2500 0.2500
Tl: 0.2500 0.2500 0.7500
Tl: 0.2500 0.7500 0.2500
Tl: 0.2500 0.7500 0.7500
Tl: 0.7500 0.2500 0.2500
Tl: 0.7500 0.2500 0.7500
Tl: 0.7500 0.7500 0.2500
Tl: 0.7500 0.7500 0.7500
Pd: 0.0000 0.0000 0.0000
Pd: 0.0000 0.5000 0.5000
Pd: 0.5000 0.0000 0.5000
Pd: 0.5000 0.5000 0.0000
Au: 0.0000 0.0000 0.5000
Au: 0.0000 0.5000 0.0000
Au: 0.5000 0.0000 0.0000
Au: 0.5000 0.5000 0.5000

(7)
A relaxed structure of Tl3PdAu. Source: Alexandria via LeMat-Bulk, functional PBE.

Computed properties:
- V: 30.2 Å³ per atom
- E_form: 0.09 eV per atom
- DOS(E_F): 1.65 states/eV per cell

a b c (Å): 5.3243 5.3243 5.3243
angles (deg): 90.00 90.00 90.00
Sites, in units of the cell vectors:
Tl: 0.0000 0.0000 0.5000
Tl: 0.0000 0.5000 0.0000
Tl: 0.5000 0.0000 0.0000
Pd: 0.0000 0.0000 0.0000
Au: 0.5000 0.5000 0.5000

(8)
A relaxed structure of Tl4Pd4Au. Source: Alexandria via LeMat-Bulk, functional PBE.

Computed properties:
- V: 22.4 Å³ per atom
- E_form: -0.08 eV per atom
- DOS(E_F): 3.79 states/eV per cell

a b c (Å): 6.9397 6.9397 6.9397
angles (deg): 133.23 121.34 78.17
Sites, in units of the cell vectors:
Tl: 0.0972 0.1812 0.5862
Tl: 0.4050 0.8188 0.9160
Tl: 0.5950 0.5110 0.4138
Tl: 0.9028 0.4890 0.0840
Pd: 0.2593 0.7214 0.1706
Pd: 0.4493 0.2786 0.5380
Pd: 0.5507 0.0887 0.8294
Pd: 0.7407 0.9113 0.4620
Au: 0.0000 0.0000 0.0000

Which value of DOS(E_F) does entry 2 give?
4.79 states/eV per cell

The highest DOS(E_F) belongs to which entry?
TlPd3Au3